The following is a SCAN calculation of PtSBrCl2 at its PBEsol-relaxed geometry, from the Alexandria database.

- relative energy among the computed polymorphs (eV/f.u.) = 0.00
- N(E_F) (states/eV per atom) = 1.164
- space group = No. 123
- ρ (g/cm³) = 5.93
- total moment (Bohr magnetons per cell) = 0.00
- E_form (uncorrected) (kJ per mole of atoms) = 23.2

POSCAR file:
```
PtSBrCl2
1.0
4.595 0.000 0.000
0.000 4.798 0.000
0.000 0.000 4.798
S Cl Pt Br
1 2 1 1
direct
0.500 0.000 0.000 S
0.000 0.500 0.000 Cl
0.000 0.000 0.500 Cl
0.000 0.000 0.000 Pt
0.500 0.500 0.500 Br
```